# 1
{"formula": "BeAsP2Cl", "functional": "PBE", "state": "relaxed", "e_above_lowest_polymorph_mev_per_atom": 0, "space_group": "P4/mmm", "n_ef_per_ev_fu": 2.940, "volume_a3_per_cell": 83.9, "magnetic_moment_mub_per_fu": 0.000, "raw_formation_energy_mev_per_atom": 538, "cell": [[-0.9303, 0.9931, -4.2750], [4.1125, -1.3289, -1.2036], [-1.4239, -3.8723, -0.5897]], "species": ["Be", "Cl", "P", "P", "As"], "fractional_positions": [[0.0000, 0.0000, 0.0000], [0.0000, 0.0000, 0.5000], [0.0000, 0.5000, 0.0000], [0.5000, 0.0000, 0.0000], [0.5000, 0.5000, 0.5000]]}

---

# 2
{"formula": "BeAs2PbCl", "functional": "PBE", "state": "relaxed", "space_group": "P4/mmm", "n_ef_per_ev_fu": 3.954, "volume_a3_per_cell": 163.6, "magnetic_moment_mub_per_fu": 1.464, "raw_formation_energy_mev_per_atom": 1125, "cell": [[5.5206, 0.0000, 0.0000], [0.0000, 5.3684, 0.0000], [0.0000, 0.0000, 5.5206]], "species": ["Cl", "Be", "Pb", "As", "As"], "fractional_positions": [[0.0000, 0.5000, 0.0000], [0.5000, 0.5000, 0.5000], [0.0000, 0.0000, 0.0000], [0.5000, 0.0000, 0.0000], [0.0000, 0.0000, 0.5000]]}